*one*
The following is a DFT calculation (PBE) of BeSbRh2 after structural relaxation.

POSCAR file:
```
BeSbRh2
1.0
-1.8716 4.3777 -1.4603
-3.8984 1.7041 2.5880
4.5185 -1.7953 1.0766
Sb Rh Be
1 2 1
direct
0.5000 0.5000 0.0000 Sb
0.2500 0.7500 0.5000 Rh
0.0000 0.0000 0.0000 Rh
0.7500 0.2500 0.5000 Be
```

- M_tot (μB/cell) = 0.00
- DOS(E_F) (states/eV/atom) = 0.6739


*two*
The following is a DFT calculation (PBE) of BeSbRh2 after structural relaxation.

POSCAR file:
```
BeSbRh2
1.0
-1.3792 3.6211 -0.9974
-2.2490 -1.6472 -2.8702
-7.9807 0.1081 3.4024
Rh Sb Be
4 2 2
direct
0.1651 0.6250 0.2500 Rh
0.5849 0.1250 0.2500 Rh
0.3750 0.4151 0.7500 Rh
0.8750 0.8349 0.7500 Rh
0.0000 0.0000 0.0000 Sb
0.7500 0.2500 0.5000 Sb
0.5000 0.5000 0.0000 Be
0.2500 0.7500 0.5000 Be
```

- M_tot (μB/cell) = 0.00
- DOS(E_F) (states/eV/atom) = 0.5844


*three*
The following is a DFT calculation (PBE) of BeSbRh2 after structural relaxation.

POSCAR file:
```
BeSbRh2
1.0
-0.9820 -1.7286 2.5177
3.0379 -0.8221 0.6225
0.5722 4.7563 3.4888
Be Rh Sb
1 2 1
direct
0.5000 0.5000 0.8452 Be
0.5000 0.5000 0.2498 Rh
0.0000 0.0000 0.9231 Rh
0.0000 0.0000 0.4819 Sb
```

- M_tot (μB/cell) = 0.00
- DOS(E_F) (states/eV/atom) = 0.7491


Name the least stable of them. *two*.


*one*
The following is a DFT calculation (PBE) of BeSbRh after structural relaxation.

POSCAR file:
```
BeSbRh
1.0
-0.7385 3.9904 2.5447
-3.0146 1.7163 3.3032
1.3157 -0.3111 3.0166
Be Sb Rh
1 1 1
direct
0.9737 0.9737 0.0263 Be
0.6704 0.6704 0.3296 Sb
0.3559 0.3559 0.6441 Rh
```

- M_tot (μB/cell) = 0.00
- DOS(E_F) (states/eV/atom) = 0.5370


*two*
The following is a DFT calculation (PBE) of BeSbRh after structural relaxation.

POSCAR file:
```
BeSbRh
1.0
-3.2193 1.3089 1.9852
1.6466 -3.5201 0.9568
2.0464 1.5767 2.2790
Rh Be Sb
1 1 1
direct
0.6667 0.3333 0.1666 Rh
0.0000 0.0000 0.1667 Be
0.3333 0.6667 0.6668 Sb
```

- M_tot (μB/cell) = 0.00
- DOS(E_F) (states/eV/atom) = 0.5112


Name the least stable of them. *two*.


*one*
The following is a DFT calculation (PBE) of BeSbRh after structural relaxation.

POSCAR file:
```
BeSbRh
1.0
3.1239 0.0000 0.0000
-1.5620 2.7054 0.0000
0.0000 0.0000 5.7510
Sb Be Rh
1 1 1
direct
0.3333 0.6667 0.6600 Sb
0.0000 0.0000 0.0406 Be
0.6667 0.3333 0.2994 Rh
```

- M_tot (μB/cell) = 0.00
- DOS(E_F) (states/eV/atom) = 0.5420


*two*
The following is a DFT calculation (PBE) of BeSbRh after structural relaxation.

POSCAR file:
```
BeSbRh
1.0
4.1912 0.0000 0.0000
2.0956 3.6297 0.0000
2.0956 1.2099 3.4221
Be Rh Sb
1 1 1
direct
0.5000 0.5000 0.5000 Be
0.7500 0.7500 0.7500 Rh
0.0000 0.0000 0.0000 Sb
```

- M_tot (μB/cell) = 0.00
- DOS(E_F) (states/eV/atom) = 0.6744


Name the least stable of them. *one*.


*one*
The following is a DFT calculation (PBE) of BeSbRh3 after structural relaxation.

POSCAR file:
```
BeSbRh3
1.0
-1.4406 -0.5322 3.9065
2.1045 -3.6208 0.2828
3.3339 2.0557 1.5095
Rh Be Sb
3 1 1
direct
0.0000 0.5000 0.0000 Rh
0.0000 0.0000 0.5000 Rh
0.5000 0.0000 0.0000 Rh
0.0000 0.0000 0.0000 Be
0.5000 0.5000 0.5000 Sb
```

- M_tot (μB/cell) = 0.00
- DOS(E_F) (states/eV/atom) = 0.5307


*two*
The following is a DFT calculation (PBE) of BeSbRh3 after structural relaxation.

POSCAR file:
```
BeSbRh3
1.0
-3.0742 -1.3825 3.3844
3.2299 -3.0986 1.6681
1.7127 3.3621 2.9291
Rh Be Sb
3 1 1
direct
0.5000 0.0000 0.0000 Rh
0.0000 0.5000 0.0000 Rh
0.0000 0.0000 0.5000 Rh
0.5000 0.5000 0.5000 Be
0.0000 0.0000 0.0000 Sb
```

- M_tot (μB/cell) = 0.00
- DOS(E_F) (states/eV/atom) = 0.3898


Name the least stable of them. *two*.


*one*
The following is a DFT calculation (PBE) of ScBe2Rh after structural relaxation.

POSCAR file:
```
ScBe2Rh
1.0
3.9908 0.0000 0.0000
0.0000 3.9908 0.0000
1.9954 1.9954 7.8812
Be Sc Rh
4 2 2
direct
0.8751 0.1250 0.2500 Be
0.8750 0.1251 0.7500 Be
0.8749 0.6250 0.2500 Be
0.3750 0.1249 0.7500 Be
0.2500 0.7500 0.5000 Sc
0.5000 0.5000 0.0000 Sc
0.7500 0.2500 0.5000 Rh
0.0000 0.0000 0.0000 Rh
```

- M_tot (μB/cell) = 0.00
- DOS(E_F) (states/eV/atom) = 0.5635


*two*
The following is a DFT calculation (PBE) of ScBe2Rh after structural relaxation.

POSCAR file:
```
ScBe2Rh
1.0
4.9416 -0.0217 -0.0140
3.4747 3.5138 -0.0140
3.4747 1.4417 3.2044
Be Sc Rh
2 1 1
direct
0.9510 0.9510 0.9510 Be
0.5490 0.5490 0.5490 Be
0.7500 0.7500 0.7500 Sc
0.2500 0.2500 0.2500 Rh
```

- M_tot (μB/cell) = 0.00
- DOS(E_F) (states/eV/atom) = 0.7587


Name the least stable of them. *one*.


*one*
The following is a DFT calculation (PBE) of ScBe2Rh after structural relaxation.

POSCAR file:
```
ScBe2Rh
1.0
3.5483 0.0000 0.0000
0.0000 3.0036 0.0224
0.0000 1.4689 4.8467
Sc Rh Be
1 1 2
direct
0.5000 0.7947 0.7867 Sc
0.0000 0.4780 0.4188 Rh
0.0000 0.1704 0.0359 Be
0.5000 0.0570 0.2586 Be
```

- M_tot (μB/cell) = 0.00
- DOS(E_F) (states/eV/atom) = 0.7547


*two*
The following is a DFT calculation (PBE) of ScBe2Rh after structural relaxation.

POSCAR file:
```
ScBe2Rh
1.0
-0.8291 2.4669 1.3398
-2.5784 -1.2349 0.6782
-0.2321 -3.2731 5.8830
Rh Sc Be
1 1 2
direct
0.5000 0.2500 0.2500 Rh
0.5000 0.7500 0.7500 Sc
0.0000 0.5621 0.4381 Be
0.0000 0.9379 0.0619 Be
```

- M_tot (μB/cell) = 0.09
- DOS(E_F) (states/eV/atom) = 0.6522


*three*
The following is a DFT calculation (PBE) of ScBe2Rh after structural relaxation.

POSCAR file:
```
ScBe2Rh
1.0
-1.5778 3.3056 -4.6736
-2.8489 -2.3385 2.1241
-1.6912 2.4163 0.3682
Sc Be Rh
1 2 1
direct
0.5000 0.5000 0.0000 Sc
0.0000 0.0000 0.0000 Be
0.5000 0.0000 0.5000 Be
0.0000 0.5000 0.5000 Rh
```

- M_tot (μB/cell) = 0.00
- DOS(E_F) (states/eV/atom) = 0.3843


Name the least stable of them. *three*.


*one*
The following is a DFT calculation (PBE) of ScBe2Rh after structural relaxation.

POSCAR file:
```
ScBe2Rh
1.0
-1.9661 3.1903 0.7596
-3.7582 -0.1606 0.6856
-1.0051 0.4300 4.8733
Be Rh Sc
2 1 1
direct
0.7408 0.7408 0.7762 Be
0.0548 0.0548 0.8347 Be
0.4513 0.4513 0.6420 Rh
0.2531 0.2531 0.2472 Sc
```

- M_tot (μB/cell) = 0.00
- DOS(E_F) (states/eV/atom) = 0.8150


*two*
The following is a DFT calculation (PBE) of ScBe2Rh after structural relaxation.

POSCAR file:
```
ScBe2Rh
1.0
0.0000 2.9305 2.9305
2.9305 0.0000 2.9305
2.9305 2.9305 0.0000
Be Rh Sc
2 1 1
direct
0.2500 0.2500 0.2500 Be
0.7500 0.7500 0.7500 Be
0.5000 0.5000 0.5000 Rh
0.0000 0.0000 0.0000 Sc
```

- M_tot (μB/cell) = 0.00
- DOS(E_F) (states/eV/atom) = 0.6805


*three*
The following is a DFT calculation (PBE) of ScBe2Rh after structural relaxation.

POSCAR file:
```
ScBe2Rh
1.0
-0.5231 -3.0280 -1.9920
3.6184 -0.5734 -0.0786
-0.2676 -2.1454 3.3314
Be Sc Rh
2 1 1
direct
0.5000 0.5000 0.0000 Be
0.0000 0.0000 0.0000 Be
0.0000 0.5000 0.5000 Sc
0.5000 0.0000 0.5000 Rh
```

- M_tot (μB/cell) = 0.00
- DOS(E_F) (states/eV/atom) = 0.3675


*four*
The following is a DFT calculation (PBE) of ScBe2Rh after structural relaxation.

POSCAR file:
```
ScBe2Rh
1.0
-1.0974 -2.4977 -1.1275
0.3104 -1.3200 2.6221
-5.6203 1.7674 1.5550
Sc Be Rh
1 2 1
direct
0.5000 0.5000 0.7439 Sc
0.5000 0.5000 0.2485 Be
0.0000 0.0000 0.0636 Be
0.0000 0.0000 0.4440 Rh
```

- M_tot (μB/cell) = 0.00
- DOS(E_F) (states/eV/atom) = 0.5410


Name the least stable of them. *three*.


*one*
The following is a DFT calculation (PBE) of Sc3BeRh after structural relaxation.

POSCAR file:
```
Sc3BeRh
1.0
4.9488 0.0000 0.0000
0.0000 4.9488 0.0000
0.0000 0.0000 4.9488
Rh Be Sc
1 1 3
direct
0.0000 0.0000 0.0000 Rh
0.5000 0.5000 0.5000 Be
0.0000 0.5000 0.0000 Sc
0.5000 0.0000 0.0000 Sc
0.0000 0.0000 0.5000 Sc
```

- M_tot (μB/cell) = 0.00
- DOS(E_F) (states/eV/atom) = 1.1158


*two*
The following is a DFT calculation (PBE) of Sc3BeRh after structural relaxation.

POSCAR file:
```
Sc3BeRh
1.0
-0.8485 -4.5553 -0.5728
3.6293 -0.3087 -2.9209
2.8120 -0.9761 3.5971
Be Sc Rh
1 3 1
direct
0.0000 0.0000 0.0000 Be
0.0000 0.5000 0.0000 Sc
0.0000 0.0000 0.5000 Sc
0.5000 0.0000 0.0000 Sc
0.5000 0.5000 0.5000 Rh
```

- M_tot (μB/cell) = 0.00
- DOS(E_F) (states/eV/atom) = 2.0762


Name the least stable of them. *two*.


*one*
The following is a DFT calculation (PBE) of ScBe3Rh after structural relaxation.

POSCAR file:
```
ScBe3Rh
1.0
4.1540 0.0000 0.0000
0.0000 4.1540 0.0000
0.0000 0.0000 4.1540
Rh Be Sc
1 3 1
direct
0.0000 0.0000 0.0000 Rh
0.5000 0.0000 0.0000 Be
0.0000 0.5000 0.0000 Be
0.0000 0.0000 0.5000 Be
0.5000 0.5000 0.5000 Sc
```

- M_tot (μB/cell) = 0.00
- DOS(E_F) (states/eV/atom) = 0.5525


*two*
The following is a DFT calculation (PBE) of ScBe3Rh after structural relaxation.

POSCAR file:
```
ScBe3Rh
1.0
-0.4604 0.8722 -4.1447
1.7143 -3.7740 -0.9846
-3.8730 -1.7741 0.0569
Sc Be Rh
1 3 1
direct
0.0000 0.0000 0.0000 Sc
0.0000 0.0000 0.5000 Be
0.5000 0.0000 0.0000 Be
0.0000 0.5000 0.0000 Be
0.5000 0.5000 0.5000 Rh
```

- M_tot (μB/cell) = 2.47
- DOS(E_F) (states/eV/atom) = 0.6636


Name the least stable of them. *two*.


*one*
The following is a DFT calculation (PBE) of BeRh3Se after structural relaxation.

POSCAR file:
```
BeRh3Se
1.0
-2.3866 -2.9394 -1.8042
1.4108 -2.8341 2.7511
-3.1472 0.9585 2.6014
Rh Be Se
3 1 1
direct
0.0000 0.0000 0.5000 Rh
0.0000 0.5000 0.0000 Rh
0.5000 0.0000 0.0000 Rh
0.0000 0.0000 0.0000 Be
0.5000 0.5000 0.5000 Se
```

- M_tot (μB/cell) = 1.30
- DOS(E_F) (states/eV/atom) = 0.9650


*two*
The following is a DFT calculation (PBE) of BeRh3Se after structural relaxation.

POSCAR file:
```
BeRh3Se
1.0
-3.8968 -1.4740 1.7359
2.2505 -3.0182 2.4893
0.3479 3.0148 3.3409
Rh Be Se
3 1 1
direct
0.0000 0.0000 0.5000 Rh
0.0000 0.5000 0.0000 Rh
0.5000 0.0000 0.0000 Rh
0.5000 0.5000 0.5000 Be
0.0000 0.0000 0.0000 Se
```

- M_tot (μB/cell) = 0.00
- DOS(E_F) (states/eV/atom) = 1.1342


Name the least stable of them. *two*.


*one*
The following is a DFT calculation (PBE) of BeRhSe after structural relaxation.

POSCAR file:
```
BeRhSe
1.0
3.8792 0.0000 0.0000
-1.9396 3.3595 0.0000
0.0000 0.0000 3.3317
Rh Be Se
1 1 1
direct
0.6667 0.3333 0.1667 Rh
0.0000 0.0000 0.1672 Be
0.3333 0.6667 0.6661 Se
```

- M_tot (μB/cell) = 0.00
- DOS(E_F) (states/eV/atom) = 0.4796


*two*
The following is a DFT calculation (PBE) of BeRhSe after structural relaxation.

POSCAR file:
```
BeRhSe
1.0
4.0278 0.0000 0.0000
2.0139 3.4882 0.0000
2.0139 1.1627 3.2887
Be Se Rh
1 1 1
direct
0.5000 0.5000 0.5000 Be
0.0000 0.0000 0.0000 Se
0.7500 0.7500 0.7500 Rh
```

- M_tot (μB/cell) = 0.00
- DOS(E_F) (states/eV/atom) = 0.3370


Name the least stable of them. *one*.


*one*
The following is a DFT calculation (PBE) of BeRhSe after structural relaxation.

POSCAR file:
```
BeRhSe
1.0
-0.5290 -3.8728 -0.4629
3.0966 -2.4293 0.0510
0.5392 -2.4376 3.0431
Be Se Rh
1 1 1
direct
0.7500 0.7500 0.7500 Be
0.5000 0.5000 0.5000 Se
0.0000 0.0000 0.0000 Rh
```

- M_tot (μB/cell) = 0.00
- DOS(E_F) (states/eV/atom) = 0.7163


*two*
The following is a DFT calculation (PBE) of BeRhSe after structural relaxation.

POSCAR file:
```
BeRhSe
1.0
-2.2062 -0.8126 -3.9780
-4.2401 -1.0112 -1.5347
-1.4648 2.6448 -1.0026
Se Be Rh
1 1 1
direct
0.6580 0.6580 0.3420 Se
0.9879 0.9879 0.0121 Be
0.3541 0.3541 0.6459 Rh
```

- M_tot (μB/cell) = 0.00
- DOS(E_F) (states/eV/atom) = 0.6049


Name the least stable of them. *one*.


*one*
The following is a DFT calculation (PBE) of Be2SiRh after structural relaxation.

POSCAR file:
```
Be2SiRh
1.0
-2.4652 0.5518 0.9440
0.4542 -2.4606 -1.0060
2.0474 -2.3758 6.7353
Be Si Rh
2 1 1
direct
0.0000 0.0000 0.4896 Be
0.0000 0.0000 0.0104 Be
0.5000 0.5000 0.7500 Si
0.5000 0.5000 0.2500 Rh
```

- M_tot (μB/cell) = 0.00
- DOS(E_F) (states/eV/atom) = 0.4045


*two*
The following is a DFT calculation (PBE) of Be2SiRh after structural relaxation.

POSCAR file:
```
Be2SiRh
1.0
-3.1412 -5.3212 -1.6736
5.0597 -1.9092 -3.4261
1.8326 -4.7322 -0.6377
Be Rh Si
4 2 2
direct
0.8750 0.8779 0.7500 Be
0.6279 0.1250 0.2500 Be
0.1221 0.6250 0.2500 Be
0.3750 0.3721 0.7500 Be
0.0000 0.0000 0.0000 Rh
0.7500 0.2500 0.5000 Rh
0.5000 0.5000 0.0000 Si
0.2500 0.7500 0.5000 Si
```

- M_tot (μB/cell) = 0.00
- DOS(E_F) (states/eV/atom) = 0.6976


Name the least stable of them. *two*.